DFT (PBE) results for an optimized crystal structure of Rb8Hg2H.

Geometry as POSCAR:
```
Rb8Hg2H
1.0
11.453 -2.369 0.000
11.453 2.369 0.000
-0.891 0.000 12.070
Rb Hg H
8 2 1
Direct
0.005 0.005 0.169
0.222 0.222 0.315
0.350 0.350 0.013
0.406 0.406 0.468
0.594 0.594 0.532
0.650 0.650 0.987
0.778 0.778 0.685
0.995 0.995 0.831
0.157 0.157 0.747
0.843 0.843 0.253
0.500 0.500 0.000
```

E   -12.45 eV for the cell shown
D(E_F)   7.16 states/eV per cell